Density functional theory data (PBE) for a relaxed As2IrCl crystal.

The structure in CIF format:
```
data_As2IrCl
_cell_length_a 8.574
_cell_length_b 3.438
_cell_length_c 7.170
_cell_angle_alpha 90.00
_cell_angle_beta 106.32
_cell_angle_gamma 90.00
_space_group_name_H-M_alt 'C 1 m 1'
_space_group_IT_number 8
loop_
_space_group_symop_operation_xyz
'x,y,z'
'x,-y,z'
'x+1/2,y+1/2,z'
'x+1/2,-y+1/2,z'
loop_
_atom_site_label
_atom_site_type_symbol
_atom_site_fract_x
_atom_site_fract_y
_atom_site_fract_z
As1 As 0.000 0.000 0.000
As2 As 0.149 0.000 0.774
Ir1 Ir 0.224 0.500 0.054
Cl1 Cl 0.334 0.000 0.317
```

Energy relative to the elements, uncorrected ... -89 meV per atom
Polymorph energy (0 for the lowest one) ... 0.157 eV per atom

=====

Density functional theory data (PBE) for a relaxed In2AsRh crystal.

The structure in CIF format:
```
data_In2AsRh
_cell_length_a 6.228
_cell_length_b 7.992
_cell_length_c 3.099
_cell_angle_alpha 90.00
_cell_angle_beta 90.00
_cell_angle_gamma 90.00
_space_group_name_H-M_alt 'C m m m'
_space_group_IT_number 65
_space_group_name_Hall '-C 2 2'
loop_
_atom_site_label
_atom_site_type_symbol
_atom_site_fract_x
_atom_site_fract_y
_atom_site_fract_z
In1 In 0.250 0.250 0.000
As1 As 0.000 0.000 0.500
Rh1 Rh 0.000 0.500 0.500
```

Calculated formation energy ... 27 meV/atom

=====

Density functional theory data (PBE) for a relaxed SrLa2Hg crystal.

The structure in CIF format:
```
data_SrLa2Hg
_cell_length_a 9.438
_cell_length_b 9.438
_cell_length_c 6.833
_cell_angle_alpha 90.00
_cell_angle_beta 90.00
_cell_angle_gamma 90.00
_space_group_name_H-M_alt 'I -4 2 d'
_space_group_IT_number 122
_space_group_name_Hall 'I -4 2bw'
loop_
_atom_site_label
_atom_site_type_symbol
_atom_site_fract_x
_atom_site_fract_y
_atom_site_fract_z
Sr1 Sr 0.000 0.000 0.000
La1 La 0.198 0.750 0.625
Hg1 Hg 0.000 0.000 0.500
```

Calculated formation energy ... -35 meV/atom

=====

Density functional theory data (PBE) for a relaxed GdDy2Rh crystal.

The structure in CIF format:
```
data_GdDy2Rh
_cell_length_a 3.500
_cell_length_b 3.500
_cell_length_c 8.655
_cell_angle_alpha 90.00
_cell_angle_beta 90.00
_cell_angle_gamma 90.00
_space_group_name_H-M_alt 'P 4/m m m'
_space_group_IT_number 123
_space_group_name_Hall '-P 4 2'
loop_
_atom_site_label
_atom_site_type_symbol
_atom_site_fract_x
_atom_site_fract_y
_atom_site_fract_z
Gd1 Gd 0.000 0.000 0.000
Dy1 Dy 0.500 0.500 0.312
Rh1 Rh 0.000 0.000 0.500
```

Calculated formation energy ... -407 meV/atom
Polymorph energy (0 for the lowest one) ... 0.000 eV per atom

=====

Density functional theory data (PBE) for a relaxed Nd2Sm3Dy6Pu crystal.

The structure in CIF format:
```
data_Nd2Sm3Dy6Pu
_cell_length_a 6.202
_cell_length_b 10.752
_cell_length_c 11.774
_cell_angle_alpha 90.00
_cell_angle_beta 100.15
_cell_angle_gamma 90.00
_space_group_name_H-M_alt 'C 1 2/m 1'
_space_group_IT_number 12
loop_
_space_group_symop_operation_xyz
'x,y,z'
'-x,-y,-z'
'-x,y,-z'
'x,-y,z'
'x+1/2,y+1/2,z'
'-x+1/2,-y+1/2,-z'
'-x+1/2,y+1/2,-z'
'x+1/2,-y+1/2,z'
loop_
_atom_site_label
_atom_site_type_symbol
_atom_site_fract_x
_atom_site_fract_y
_atom_site_fract_z
Nd1 Nd 0.000 0.167 0.000
Sm1 Sm 0.000 0.000 0.500
Sm2 Sm 0.000 0.333 0.500
Dy1 Dy 0.246 0.500 0.751
Dy2 Dy 0.247 0.336 0.248
Pu1 Pu 0.000 0.500 0.000
```

Calculated formation energy ... 45 meV/atom

=====

Density functional theory data (PBE) for a relaxed Ti2Ga2Si crystal.

The structure in CIF format:
```
data_Ti2Ga2Si
_cell_length_a 6.510
_cell_length_b 6.510
_cell_length_c 4.002
_cell_angle_alpha 90.00
_cell_angle_beta 90.00
_cell_angle_gamma 90.00
_space_group_name_H-M_alt 'P 4/m b m'
_space_group_IT_number 127
_space_group_name_Hall '-P 4 2ab'
loop_
_atom_site_label
_atom_site_type_symbol
_atom_site_fract_x
_atom_site_fract_y
_atom_site_fract_z
Ti1 Ti 0.160 0.340 0.000
Ga1 Ga 0.147 0.647 0.500
Si1 Si 0.000 0.000 0.000
```

Energy relative to the elements, uncorrected ... -335 meV per atom